(1)
## CaTa2Cu (GGA-PBE)

Data for a relaxed CaTa2Cu crystal.

a b c (Å): 5.1893 5.1893 5.6561
angles (deg): 76.65 76.65 33.15
Atoms (fractional coordinates):
Ca (0.5182, 0.5182, 0.4496)
Cu (0.2769, 0.2769, 0.2493)
Ta (0.9795, 0.9795, 0.9552)
Ta (0.7254, 0.7254, 0.8459)

---

(2)
## CaTa2Cu (GGA-PBE)

Data for a relaxed CaTa2Cu crystal.

a b c (Å): 4.7480 4.7474 4.7481
angles (deg): 120.00 120.00 89.99
Atoms (fractional coordinates):
Ca (0.5000, 0.5000, 0.0000)
Cu (0.7500, 0.2500, 0.5000)
Ta (0.0000, 0.0000, 0.0000)
Ta (0.2500, 0.7500, 0.5000)

---

(3)
## CaTa2Cu (GGA-PBE)

Data for a relaxed CaTa2Cu crystal.

a b c (Å): 2.8850 2.8850 9.2612
angles (deg): 90.00 90.00 90.00
Atoms (fractional coordinates):
Ca (0.5000, 0.5000, 0.2500)
Cu (0.5000, 0.5000, 0.7500)
Ta (0.0000, 0.0000, 0.9478)
Ta (0.0000, 0.0000, 0.5522)

---

(4)
## CaTaCu (GGA-PBE)

Data for a relaxed CaTaCu crystal.

a b c (Å): 3.9413 3.9413 7.5518
angles (deg): 90.00 90.00 90.00
Atoms (fractional coordinates):
Ca (0.0000, 0.0000, 0.5000)
Ca (0.5000, 0.5000, 0.5000)
Cu (0.0000, 0.5000, 0.7842)
Cu (0.5000, 0.0000, 0.2158)
Ta (0.0000, 0.5000, 0.1016)
Ta (0.5000, 0.0000, 0.8984)

---

| no. | E_form (eV/atom) | polymorph energy (0 for the lowest one) (eV per atom) |
| --- | --- | --- |
| 1 | 0.50 | 0.195 |
| 2 | 0.66 | 0.354 |
| 3 | 0.52 | 0.211 |
| 4 | 0.75 | 0.555 |